Density functional theory data (GGA-PBE) for an optimized crystal structure of SiH2AuS.

a = 3.4843 Å, b = 3.4843 Å, c = 6.7475 Å
α = 90.00°, β = 90.00°, γ = 90.00°
Space group P4/mmm (No. 123)
Symmetry-distinct sites (fractional):
Si (0.0000, 0.0000, 0.0000) x1
H (0.0000, 0.5000, 0.5000) x2
Au (0.5000, 0.5000, 0.5000) x1
S (0.5000, 0.5000, 0.0000) x1

Values from the calculation:
N(E_F) = 0.373 states/eV/atom
V = 81.92 Å³ per cell
VASP energy = -3.580 eV/atom